[1]
Here is a relaxed structure of TbEuHgRu from Alexandria via LeMat-Bulk. Energies are from PBE.

Cell lengths 7.2223, 7.2223, 7.2223 Å; angles 90.00, 90.00, 90.00 degrees
Last column: nearest neighbours and their distance in Å.
Space group F-43m (No. 216)
Asymmetric unit:
Tb 0.0000 0.0000 0.0000 x4  4 Hg 3.13, 4 Ru 3.13
Eu 0.0000 0.0000 0.5000 x4  4 Ru 3.13, 4 Hg 3.13
Hg 0.2500 0.2500 0.7500 x4  4 Tb 3.13, 4 Eu 3.13
Ru 0.2500 0.2500 0.2500 x4  4 Tb 3.13, 4 Eu 3.13

Energy of formation, eV per atom: -0.186
Crystal system: cubic
Electronic total energy, eV per atom: -6.307

[2]
Here is a relaxed structure of EuYHgRu from Alexandria via LeMat-Bulk. Energies are from PBE.

Cell lengths 7.2189, 7.2189, 7.2189 Å; angles 90.00, 90.00, 90.00 degrees
Last column: nearest neighbours and their distance in Å.
Space group F-43m (No. 216)
Asymmetric unit:
Eu 0.0000 0.0000 0.0000 x4  4 Hg 3.13, 4 Ru 3.13
Y 0.0000 0.0000 0.5000 x4  4 Ru 3.13, 4 Hg 3.13
Hg 0.2500 0.2500 0.2500 x4  4 Eu 3.13, 4 Y 3.13
Ru 0.2500 0.2500 0.7500 x4  4 Eu 3.13, 4 Y 3.13

Energy of formation, eV per atom: -0.187
Crystal system: cubic
Electronic total energy, eV per atom: -6.766

[3]
Here is a relaxed structure of EuHgS2 from Alexandria via LeMat-Bulk. Energies are from PBE.

Cell lengths 4.4695, 4.4695, 22.6003 Å; angles 90.00, 90.00, 120.00 degrees
Last column: nearest neighbours and their distance in Å.
Space group R-3m (No. 166, hexagonal axes)
Asymmetric unit:
Eu 0.0000 0.0000 0.0000 x3  6 S 2.94
Hg 0.0000 0.0000 0.5000 x3  2 S 2.36
S 0.0000 0.0000 0.3957 x6  1 Hg 2.36

Crystal system: trigonal
Formation energy from raw total energies, meV per atom: -1099.5
Electronic total energy, eV per atom: -5.807

[4]
Here is a relaxed structure of EuHgSb4 from Alexandria via LeMat-Bulk. Energies are from PBE.

Cell lengths 9.0061, 9.0061, 9.0061 Å; angles 90.00, 90.00, 90.00 degrees
Last column: nearest neighbours and their distance in Å.
Space group F-43m (No. 216)
Asymmetric unit:
Eu 0.0000 0.0000 0.0000 x4  12 Sb 3.74, 4 Hg 3.90
Hg 0.2500 0.2500 0.7500 x4  12 Sb 3.73, 4 Eu 3.90
Sb 0.1220 0.1220 0.3780 x16  6 Sb 3.11-3.26

Crystal system: cubic
Formation energy from raw total energies, meV per atom: -152.9
Electronic total energy, eV per atom: -4.664

[5]
Here is a relaxed structure of Eu2HgSb from Alexandria via LeMat-Bulk. Energies are from PBE.

Cell lengths 5.3353, 5.3353, 4.2343 Å; angles 90.00, 90.00, 90.00 degrees
Last column: nearest neighbours and their distance in Å.
Space group P4/mmm (No. 123)
Asymmetric unit:
Eu 0.0000 0.5000 0.0000 x2  4 Hg 3.41, 4 Sb 3.41, 4 Eu 3.77
Hg 0.0000 0.0000 0.5000 x1  8 Eu 3.41, 4 Sb 3.77
Sb 0.5000 0.5000 0.5000 x1  8 Eu 3.41, 4 Hg 3.77

Crystal system: tetragonal
Formation energy from raw total energies, meV per atom: -804.6
Electronic total energy, eV per atom: -7.048

[6]
Here is a relaxed structure of Eu2HgSb from Alexandria via LeMat-Bulk. Energies are from PBE.

Cell lengths 7.8414, 7.8414, 7.8414 Å; angles 90.00, 90.00, 90.00 degrees
Last column: nearest neighbours and their distance in Å.
Space group Fm-3m (No. 225)
Asymmetric unit:
Eu 0.2500 0.2500 0.2500 x8  4 Hg 3.40, 4 Sb 3.40
Hg 0.0000 0.0000 0.0000 x4  8 Eu 3.40
Sb 0.0000 0.0000 0.5000 x4  8 Eu 3.40

Crystal system: cubic
Formation energy from raw total energies, meV per atom: -780.0
Electronic total energy, eV per atom: -7.023

[7]
Here is a relaxed structure of EuHgSb from Alexandria via LeMat-Bulk. Energies are from PBE.

Cell lengths 4.7827, 4.7827, 4.5354 Å; angles 90.00, 90.00, 120.00 degrees
Last column: nearest neighbours and their distance in Å.
Space group P3m1 (No. 156)
Asymmetric unit:
Eu 0.0000 0.0000 0.0000 x1  3 Hg 3.20, 3 Sb 3.34
Hg 0.3333 0.6667 0.3552 x1  3 Sb 2.95, 3 Eu 3.20
Sb 0.6667 0.3333 0.5848 x1  3 Hg 2.95

Crystal system: trigonal
Formation energy from raw total energies, meV per atom: -592.0
Electronic total energy, eV per atom: -5.492

[8]
Here is a relaxed structure of EuHgSb from Alexandria via LeMat-Bulk. Energies are from PBE.

Cell lengths 4.0431, 4.0431, 10.6350 Å; angles 90.00, 90.00, 90.00 degrees
Last column: nearest neighbours and their distance in Å.
Space group I4mm (No. 107)
Asymmetric unit:
Eu 0.0000 0.0000 0.0000 x2  5 Hg 3.41-3.46, 5 Sb 3.42-3.44
Hg 0.0000 0.0000 0.6743 x2  4 Sb 3.27, 5 Eu 3.41-3.46
Sb 0.0000 0.0000 0.3238 x2  4 Hg 3.27, 5 Eu 3.42-3.44

Crystal system: tetragonal
Formation energy from raw total energies, meV per atom: -516.2
Electronic total energy, eV per atom: -5.416

[9]
Here is a relaxed structure of EuHgSb from Alexandria via LeMat-Bulk. Energies are from PBE.

Cell lengths 7.2573, 7.2573, 7.2573 Å; angles 90.00, 90.00, 90.00 degrees
Last column: nearest neighbours and their distance in Å.
Space group F-43m (No. 216)
Asymmetric unit:
Eu 0.0000 0.0000 0.0000 x4  4 Hg 3.14
Hg 0.2500 0.2500 0.2500 x4  4 Sb 3.14, 4 Eu 3.14
Sb 0.0000 0.0000 0.5000 x4  4 Hg 3.14

Crystal system: cubic
Formation energy from raw total energies, meV per atom: -501.9
Electronic total energy, eV per atom: -5.401

[10]
Here is a relaxed structure of TbEuHgSb from Alexandria via LeMat-Bulk. Energies are from PBE.

Cell lengths 7.6507, 7.6507, 7.6507 Å; angles 90.00, 90.00, 90.00 degrees
Last column: nearest neighbours and their distance in Å.
Space group F-43m (No. 216)
Asymmetric unit:
Tb 0.0000 0.0000 0.0000 x4  4 Hg 3.31, 4 Sb 3.31
Eu 0.0000 0.0000 0.5000 x4  4 Hg 3.31, 4 Sb 3.31
Hg 0.2500 0.2500 0.2500 x4  4 Tb 3.31, 4 Eu 3.31
Sb 0.2500 0.2500 0.7500 x4  4 Tb 3.31, 4 Eu 3.31

Crystal system: cubic
Formation energy from raw total energies, meV per atom: -651.5
Electronic total energy, eV per atom: -5.484

[11]
Here is a relaxed structure of EuZnHgSb from Alexandria via LeMat-Bulk. Energies are from PBE.

Cell lengths 7.4320, 7.4320, 7.4320 Å; angles 90.00, 90.00, 90.00 degrees
Last column: nearest neighbours and their distance in Å.
Space group F-43m (No. 216)
Asymmetric unit:
Eu 0.0000 0.0000 0.0000 x4  4 Hg 3.22, 4 Zn 3.22
Zn 0.2500 0.2500 0.2500 x4  4 Sb 3.22, 4 Eu 3.22
Hg 0.2500 0.2500 0.7500 x4  4 Sb 3.22, 4 Eu 3.22
Sb 0.0000 0.0000 0.5000 x4  4 Hg 3.22, 4 Zn 3.22

Crystal system: cubic
Formation energy from raw total energies, meV per atom: -306.8
Electronic total energy, eV per atom: -4.300

[12]
Here is a relaxed structure of Eu2ScHg from Alexandria via LeMat-Bulk. Energies are from PBE.

Cell lengths 3.9836, 3.9836, 7.5989 Å; angles 90.00, 90.00, 90.00 degrees
Last column: nearest neighbours and their distance in Å.
Space group P4/mmm (No. 123)
Asymmetric unit:
Eu 0.0000 0.0000 0.2392 x2  4 Hg 3.35, 4 Sc 3.44, 1 Eu 3.64
Sc 0.5000 0.5000 0.5000 x1  8 Eu 3.44, 2 Hg 3.80
Hg 0.5000 0.5000 0.0000 x1  8 Eu 3.35

Energy of formation, eV per atom: -0.129
Crystal system: tetragonal
Electronic total energy, eV per atom: -6.925

[13]
Here is a relaxed structure of Eu2ScHg from Alexandria via LeMat-Bulk. Energies are from PBE.

Cell lengths 3.5112, 3.5112, 34.9925 Å; angles 90.00, 90.00, 120.00 degrees
Last column: nearest neighbours and their distance in Å.
Space group R-3m (No. 166, hexagonal axes)
Asymmetric unit:
Eu 0.0000 0.0000 0.0912 x6  1 Sc 3.19, 3 Hg 3.33, 6 Eu 3.51
Sc 0.0000 0.0000 0.0000 x3  2 Eu 3.19, 6 Sc 3.51
Hg 0.0000 0.0000 0.5000 x3  6 Eu 3.33, 6 Hg 3.51

Energy of formation, eV per atom: 0.133
Crystal system: trigonal
Electronic total energy, eV per atom: -6.662

[14]
Here is a relaxed structure of EuScSnHg from Alexandria via LeMat-Bulk. Energies are from PBE.

Cell lengths 7.4544, 7.4544, 7.4544 Å; angles 90.00, 90.00, 90.00 degrees
Last column: nearest neighbours and their distance in Å.
Space group F-43m (No. 216)
Asymmetric unit:
Eu 0.0000 0.0000 0.0000 x4  4 Hg 3.23, 4 Sn 3.23
Sc 0.0000 0.0000 0.5000 x4  4 Hg 3.23, 4 Sn 3.23
Sn 0.2500 0.2500 0.7500 x4  4 Sc 3.23, 4 Eu 3.23
Hg 0.2500 0.2500 0.2500 x4  4 Sc 3.23, 4 Eu 3.23

Energy of formation, eV per atom: -0.508
Crystal system: cubic
Electronic total energy, eV per atom: -5.735

[15]
Here is a relaxed structure of EuScTlHg from Alexandria via LeMat-Bulk. Energies are from PBE.

Cell lengths 7.5005, 7.5005, 7.5005 Å; angles 90.00, 90.00, 90.00 degrees
Last column: nearest neighbours and their distance in Å.
Space group F-43m (No. 216)
Asymmetric unit:
Eu 0.0000 0.0000 0.0000 x4  4 Hg 3.25, 4 Tl 3.25
Sc 0.0000 0.0000 0.5000 x4  4 Tl 3.25, 4 Hg 3.25
Tl 0.2500 0.2500 0.7500 x4  4 Sc 3.25, 4 Eu 3.25
Hg 0.2500 0.2500 0.2500 x4  4 Sc 3.25, 4 Eu 3.25

Energy of formation, eV per atom: -0.356
Crystal system: cubic
Electronic total energy, eV per atom: -5.174